No. 1
The following is a PBE calculation of a relaxed TlZn2W crystal, from Alexandria via LeMat-Bulk.

```
data_TlZn2W
_symmetry_space_group_name_H-M 'P 4 m m'
_symmetry_Int_Tables_number 99
_cell_length_a 2.836
_cell_length_b 2.836
_cell_length_c 9.177
_cell_angle_alpha 90.00
_cell_angle_beta 90.00
_cell_angle_gamma 90.00
loop_
_symmetry_equiv_pos_as_xyz
'x,y,z'
'-y,x,z'
'-x,-y,z'
'y,-x,z'
'-x,y,z'
'y,x,z'
'x,-y,z'
'-y,-x,z'
loop_
_atom_site_label
_atom_site_fract_x
_atom_site_fract_y
_atom_site_fract_z
Tl1 0.000 0.000 0.000
Zn1 0.000 0.000 0.489
Zn2 0.500 0.500 0.694
W1 0.500 0.500 0.277
```

Values from the calculation:
Energy relative to the elements in eV/atom: 0.558
E above lowest polymorph in meV/atom: 132
VASP energy in eV/cell: -15.64

No. 2
The following is a PBE calculation of a relaxed Tl4ZnW crystal, from Alexandria via LeMat-Bulk.

```
data_Tl4ZnW
_symmetry_space_group_name_H-M 'F -4 3 m'
_symmetry_Int_Tables_number 216
_symmetry_space_group_name_Hall 'F -4 2 3'
_cell_length_a 8.797
_cell_length_b 8.797
_cell_length_c 8.797
_cell_angle_alpha 90.00
_cell_angle_beta 90.00
_cell_angle_gamma 90.00
loop_
_atom_site_label
_atom_site_fract_x
_atom_site_fract_y
_atom_site_fract_z
Tl1 0.125 0.125 0.125
Zn1 0.000 0.000 0.500
W1 0.250 0.250 0.750
```

Values from the calculation:
Energy relative to the elements in eV/atom: 1.169
VASP energy in eV/cell: -66.72

No. 3
The following is a PBE calculation of a relaxed Tl2ZnW crystal, from Alexandria via LeMat-Bulk.

```
data_Tl2ZnW
_symmetry_space_group_name_H-M 'C m m m'
_symmetry_Int_Tables_number 65
_symmetry_space_group_name_Hall '-C 2 2'
_cell_length_a 3.519
_cell_length_b 4.987
_cell_length_c 9.586
_cell_angle_alpha 90.00
_cell_angle_beta 90.00
_cell_angle_gamma 90.00
loop_
_atom_site_label
_atom_site_fract_x
_atom_site_fract_y
_atom_site_fract_z
Tl1 0.000 0.000 0.248
Zn1 0.000 0.500 0.500
W1 0.000 0.500 0.000
```

Values from the calculation:
Energy relative to the elements in eV/atom: 0.826
E above lowest polymorph in meV/atom: 224
VASP energy in eV/cell: -31.31

No. 4
The following is a PBE calculation of a relaxed Tl2ZnW crystal, from Alexandria via LeMat-Bulk.

```
data_Tl2ZnW
_symmetry_space_group_name_H-M 'C 1 m 1'
_symmetry_Int_Tables_number 8
_cell_length_a 11.411
_cell_length_b 2.939
_cell_length_c 5.118
_cell_angle_alpha 90.00
_cell_angle_beta 104.77
_cell_angle_gamma 90.00
loop_
_symmetry_equiv_pos_as_xyz
'x,y,z'
'x,-y,z'
'x+1/2,y+1/2,z'
'x+1/2,-y+1/2,z'
loop_
_atom_site_label
_atom_site_fract_x
_atom_site_fract_y
_atom_site_fract_z
Tl1 0.000 0.000 0.000
Tl2 0.212 0.000 0.636
Zn1 0.434 0.000 0.459
W1 0.252 0.500 0.151
```

Values from the calculation:
Energy relative to the elements in eV/atom: 0.698
E above lowest polymorph in meV/atom: 96
VASP energy in eV/cell: -32.33

No. 5
The following is a PBE calculation of a relaxed TlZnW2 crystal, from Alexandria via LeMat-Bulk.

```
data_TlZnW2
_symmetry_space_group_name_H-M 'F m -3 m'
_symmetry_Int_Tables_number 225
_symmetry_space_group_name_Hall '-F 4 2 3'
_cell_length_a 6.475
_cell_length_b 6.475
_cell_length_c 6.475
_cell_angle_alpha 90.00
_cell_angle_beta 90.00
_cell_angle_gamma 90.00
loop_
_atom_site_label
_atom_site_fract_x
_atom_site_fract_y
_atom_site_fract_z
Tl1 0.000 0.000 0.000
Zn1 0.000 0.000 0.500
W1 0.250 0.250 0.250
```

Values from the calculation:
Energy relative to the elements in eV/atom: 1.104
E above lowest polymorph in meV/atom: 586
VASP energy in eV/cell: -100.52

No. 6
The following is a PBE calculation of a relaxed Tl2ZnW crystal, from Alexandria via LeMat-Bulk.

```
data_Tl2ZnW
_symmetry_space_group_name_H-M 'P 4/m m m'
_symmetry_Int_Tables_number 123
_symmetry_space_group_name_Hall '-P 4 2'
_cell_length_a 5.261
_cell_length_b 5.261
_cell_length_c 2.967
_cell_angle_alpha 90.00
_cell_angle_beta 90.00
_cell_angle_gamma 90.00
loop_
_atom_site_label
_atom_site_fract_x
_atom_site_fract_y
_atom_site_fract_z
Tl1 0.000 0.500 0.000
Zn1 0.000 0.000 0.500
W1 0.500 0.500 0.500
```

Values from the calculation:
Energy relative to the elements in eV/atom: 0.826
E above lowest polymorph in meV/atom: 224
VASP energy in eV/cell: -15.65

No. 7
The following is a PBE calculation of a relaxed TlZnW2 crystal, from Alexandria via LeMat-Bulk.

```
data_TlZnW2
_symmetry_space_group_name_H-M 'P 4/m m m'
_symmetry_Int_Tables_number 123
_symmetry_space_group_name_Hall '-P 4 2'
_cell_length_a 3.906
_cell_length_b 3.906
_cell_length_c 4.547
_cell_angle_alpha 90.00
_cell_angle_beta 90.00
_cell_angle_gamma 90.00
loop_
_atom_site_label
_atom_site_fract_x
_atom_site_fract_y
_atom_site_fract_z
Tl1 0.000 0.000 0.000
Zn1 0.500 0.500 0.000
W1 0.000 0.500 0.500
```

Values from the calculation:
Energy relative to the elements in eV/atom: 0.833
E above lowest polymorph in meV/atom: 315
VASP energy in eV/cell: -26.22

No. 8
The following is a PBE calculation of a relaxed TlZn2W crystal, from Alexandria via LeMat-Bulk.

```
data_TlZn2W
_symmetry_space_group_name_H-M 'I 4/m m m'
_symmetry_Int_Tables_number 139
_symmetry_space_group_name_Hall '-I 4 2'
_cell_length_a 3.955
_cell_length_b 3.955
_cell_length_c 8.966
_cell_angle_alpha 90.00
_cell_angle_beta 90.00
_cell_angle_gamma 90.00
loop_
_atom_site_label
_atom_site_fract_x
_atom_site_fract_y
_atom_site_fract_z
Tl1 0.000 0.000 0.000
Zn1 0.000 0.500 0.250
W1 0.000 0.000 0.500
```

Values from the calculation:
Energy relative to the elements in eV/atom: 0.694
E above lowest polymorph in meV/atom: 268
VASP energy in eV/cell: -30.18

No. 9
The following is a PBE calculation of a relaxed TlZnW4 crystal, from Alexandria via LeMat-Bulk.

```
data_TlZnW4
_symmetry_space_group_name_H-M 'F -4 3 m'
_symmetry_Int_Tables_number 216
_symmetry_space_group_name_Hall 'F -4 2 3'
_cell_length_a 7.614
_cell_length_b 7.614
_cell_length_c 7.614
_cell_angle_alpha 90.00
_cell_angle_beta 90.00
_cell_angle_gamma 90.00
loop_
_atom_site_label
_atom_site_fract_x
_atom_site_fract_y
_atom_site_fract_z
Tl1 0.000 0.000 0.000
Zn1 0.250 0.250 0.250
W1 0.124 0.124 0.624
```

Values from the calculation:
Energy relative to the elements in eV/atom: 0.851
VASP energy in eV/cell: -201.40

No. 10
The following is a PBE calculation of a relaxed Tl2ZnW crystal, from Alexandria via LeMat-Bulk.

```
data_Tl2ZnW
_symmetry_space_group_name_H-M 'I 4/m m m'
_symmetry_Int_Tables_number 139
_symmetry_space_group_name_Hall '-I 4 2'
_cell_length_a 4.141
_cell_length_b 4.141
_cell_length_c 9.198
_cell_angle_alpha 90.00
_cell_angle_beta 90.00
_cell_angle_gamma 90.00
loop_
_atom_site_label
_atom_site_fract_x
_atom_site_fract_y
_atom_site_fract_z
Tl1 0.000 0.500 0.250
Zn1 0.000 0.000 0.000
W1 0.000 0.000 0.500
```

Values from the calculation:
Energy relative to the elements in eV/atom: 0.879
E above lowest polymorph in meV/atom: 276
VASP energy in eV/cell: -30.89

No. 11
The following is a PBE calculation of a relaxed TlZn2W crystal, from Alexandria via LeMat-Bulk.

```
data_TlZn2W
_symmetry_space_group_name_H-M 'P 1 2/m 1'
_symmetry_Int_Tables_number 10
_cell_length_a 2.964
_cell_length_b 3.979
_cell_length_c 6.019
_cell_angle_alpha 90.00
_cell_angle_beta 90.29
_cell_angle_gamma 90.00
loop_
_symmetry_equiv_pos_as_xyz
'x,y,z'
'-x,-y,-z'
'-x,y,-z'
'x,-y,z'
loop_
_atom_site_label
_atom_site_fract_x
_atom_site_fract_y
_atom_site_fract_z
Tl1 0.000 0.000 0.000
Zn1 0.498 0.500 0.291
W1 0.000 0.000 0.500
```

Values from the calculation:
Energy relative to the elements in eV/atom: 0.534
E above lowest polymorph in meV/atom: 108
VASP energy in eV/cell: -15.73

No. 12
The following is a PBE calculation of a relaxed TlZn2W crystal, from Alexandria via LeMat-Bulk.

```
data_TlZn2W
_symmetry_space_group_name_H-M 'C 1 m 1'
_symmetry_Int_Tables_number 8
_cell_length_a 10.706
_cell_length_b 2.924
_cell_length_c 5.045
_cell_angle_alpha 90.00
_cell_angle_beta 117.36
_cell_angle_gamma 90.00
loop_
_symmetry_equiv_pos_as_xyz
'x,y,z'
'x,-y,z'
'x+1/2,y+1/2,z'
'x+1/2,-y+1/2,z'
loop_
_atom_site_label
_atom_site_fract_x
_atom_site_fract_y
_atom_site_fract_z
Tl1 0.000 0.000 0.000
Zn1 0.021 0.500 0.528
Zn2 0.264 0.500 0.109
W1 0.251 0.000 0.566
```

Values from the calculation:
Energy relative to the elements in eV/atom: 0.517
E above lowest polymorph in meV/atom: 91
VASP energy in eV/cell: -31.60

No. 13
The following is a PBE calculation of a relaxed TlZn2W crystal, from Alexandria via LeMat-Bulk.

```
data_TlZn2W
_symmetry_space_group_name_H-M 'I -4 m 2'
_symmetry_Int_Tables_number 119
_symmetry_space_group_name_Hall 'I -4 -2'
_cell_length_a 3.863
_cell_length_b 3.863
_cell_length_c 9.156
_cell_angle_alpha 90.00
_cell_angle_beta 90.00
_cell_angle_gamma 90.00
loop_
_atom_site_label
_atom_site_fract_x
_atom_site_fract_y
_atom_site_fract_z
Tl1 0.000 0.000 0.000
Zn1 0.000 0.000 0.500
Zn2 0.000 0.500 0.250
W1 0.000 0.500 0.750
```

Values from the calculation:
Energy relative to the elements in eV/atom: 0.591
E above lowest polymorph in meV/atom: 165
VASP energy in eV/cell: -31.01

No. 14
The following is a PBE calculation of a relaxed TlZn3W crystal, from Alexandria via LeMat-Bulk.

```
data_TlZn3W
_symmetry_space_group_name_H-M 'P m -3 m'
_symmetry_Int_Tables_number 221
_symmetry_space_group_name_Hall '-P 4 2 3'
_cell_length_a 5.051
_cell_length_b 5.051
_cell_length_c 5.051
_cell_angle_alpha 90.00
_cell_angle_beta 90.00
_cell_angle_gamma 90.00
loop_
_atom_site_label
_atom_site_fract_x
_atom_site_fract_y
_atom_site_fract_z
Tl1 0.000 0.000 0.000
Zn1 0.000 0.500 0.500
W1 0.500 0.500 0.500
```

Values from the calculation:
Energy relative to the elements in eV/atom: 0.975
E above lowest polymorph in meV/atom: 0
VASP energy in eV/cell: -14.27

No. 15
The following is a PBE calculation of a relaxed Tl2ZnW crystal, from Alexandria via LeMat-Bulk.

```
data_Tl2ZnW
_symmetry_space_group_name_H-M 'I -4 m 2'
_symmetry_Int_Tables_number 119
_symmetry_space_group_name_Hall 'I -4 -2'
_cell_length_a 4.069
_cell_length_b 4.069
_cell_length_c 9.537
_cell_angle_alpha 90.00
_cell_angle_beta 90.00
_cell_angle_gamma 90.00
loop_
_atom_site_label
_atom_site_fract_x
_atom_site_fract_y
_atom_site_fract_z
Tl1 0.000 0.000 0.000
Tl2 0.000 0.500 0.250
Zn1 0.000 0.000 0.500
W1 0.000 0.500 0.750
```

Values from the calculation:
Energy relative to the elements in eV/atom: 0.850
E above lowest polymorph in meV/atom: 247
VASP energy in eV/cell: -31.12

No. 16
The following is a PBE calculation of a relaxed Tl2ZnW crystal, from Alexandria via LeMat-Bulk.

```
data_Tl2ZnW
_symmetry_space_group_name_H-M 'F m -3 m'
_symmetry_Int_Tables_number 225
_symmetry_space_group_name_Hall '-F 4 2 3'
_cell_length_a 6.977
_cell_length_b 6.977
_cell_length_c 6.977
_cell_angle_alpha 90.00
_cell_angle_beta 90.00
_cell_angle_gamma 90.00
loop_
_atom_site_label
_atom_site_fract_x
_atom_site_fract_y
_atom_site_fract_z
Tl1 0.250 0.250 0.250
Zn1 0.000 0.000 0.000
W1 0.000 0.000 0.500
```

Values from the calculation:
Energy relative to the elements in eV/atom: 1.132
E above lowest polymorph in meV/atom: 529
VASP energy in eV/cell: -57.73

No. 17
The following is a PBE calculation of a relaxed TlZn2W crystal, from Alexandria via LeMat-Bulk.

```
data_TlZn2W
_symmetry_space_group_name_H-M 'C m m 2'
_symmetry_Int_Tables_number 35
_cell_length_a 3.819
_cell_length_b 4.222
_cell_length_c 9.145
_cell_angle_alpha 90.00
_cell_angle_beta 90.00
_cell_angle_gamma 90.00
loop_
_symmetry_equiv_pos_as_xyz
'x,y,z'
'-x,-y,z'
'-x,y,z'
'x,-y,z'
'x+1/2,y+1/2,z'
'-x+1/2,-y+1/2,z'
'-x+1/2,y+1/2,z'
'x+1/2,-y+1/2,z'
loop_
_atom_site_label
_atom_site_fract_x
_atom_site_fract_y
_atom_site_fract_z
Tl1 0.000 0.000 0.000
Zn1 0.000 0.000 0.510
Zn2 0.000 0.500 0.304
W1 0.000 0.500 0.723
```

Values from the calculation:
Energy relative to the elements in eV/atom: 0.558
E above lowest polymorph in meV/atom: 133
VASP energy in eV/cell: -31.27

No. 18
The following is a PBE calculation of a relaxed TlZnW2 crystal, from Alexandria via LeMat-Bulk.

```
data_TlZnW2
_symmetry_space_group_name_H-M 'P 1 2/m 1'
_symmetry_Int_Tables_number 10
_cell_length_a 2.841
_cell_length_b 4.663
_cell_length_c 5.366
_cell_angle_alpha 90.00
_cell_angle_beta 98.15
_cell_angle_gamma 90.00
loop_
_symmetry_equiv_pos_as_xyz
'x,y,z'
'-x,-y,-z'
'-x,y,-z'
'x,-y,z'
loop_
_atom_site_label
_atom_site_fract_x
_atom_site_fract_y
_atom_site_fract_z
Tl1 0.000 0.000 0.000
Zn1 0.500 0.000 0.500
W1 0.218 0.500 0.726
```

Values from the calculation:
Energy relative to the elements in eV/atom: 0.728
E above lowest polymorph in meV/atom: 210
VASP energy in eV/cell: -26.64

No. 19
The following is a PBE calculation of a relaxed Tl2ZnW crystal, from Alexandria via LeMat-Bulk.

```
data_Tl2ZnW
_symmetry_space_group_name_H-M 'I m m 2'
_symmetry_Int_Tables_number 44
_cell_length_a 2.931
_cell_length_b 4.948
_cell_length_c 12.847
_cell_angle_alpha 90.00
_cell_angle_beta 90.00
_cell_angle_gamma 90.00
loop_
_symmetry_equiv_pos_as_xyz
'x,y,z'
'-x,-y,z'
'-x,y,z'
'x,-y,z'
'x+1/2,y+1/2,z+1/2'
'-x+1/2,-y+1/2,z+1/2'
'-x+1/2,y+1/2,z+1/2'
'x+1/2,-y+1/2,z+1/2'
loop_
_atom_site_label
_atom_site_fract_x
_atom_site_fract_y
_atom_site_fract_z
Tl1 0.000 0.000 0.000
Tl2 0.000 0.500 0.206
Zn1 0.000 0.000 0.381
W1 0.000 0.500 0.708
```

Values from the calculation:
Energy relative to the elements in eV/atom: 0.721
E above lowest polymorph in meV/atom: 119
VASP energy in eV/cell: -32.15

No. 20
The following is a PBE calculation of a relaxed TlZn2W crystal, from Alexandria via LeMat-Bulk.

```
data_TlZn2W
_symmetry_space_group_name_H-M 'R -3 m'
_symmetry_Int_Tables_number 166
_symmetry_space_group_name_Hall '-R 3 2"'
_cell_length_a 3.0103
_cell_length_b 3.0103
_cell_length_c 27.9520
_cell_angle_alpha 90.00
_cell_angle_beta 90.00
_cell_angle_gamma 120.00
loop_
_atom_site_label
_atom_site_fract_x
_atom_site_fract_y
_atom_site_fract_z
Tl1 0.0000 0.0000 0.0000
Zn1 0.0000 0.0000 0.2427
W1 0.0000 0.0000 0.5000
```

Values from the calculation:
Energy relative to the elements in eV/atom: 0.455
E above lowest polymorph in meV/atom: 29
VASP energy in eV/cell: -48.15